MgZn12Au6 | PBE | optimized geometry

Computed properties:
SG: R-3, No. 148
DOS at the Fermi energy in states/eV/cell: 3.19
Excess energy over the best structure of this formula in the dataset in meV per atom: 0

a b c (Å): 6.7920 6.7920 6.7920
angles (deg): 88.82 88.82 88.82
Fractional coordinates of all 19 atoms:
1 Mg 0.0000 0.0000 0.0000
2 Zn 0.0747 0.1428 0.3824
3 Zn 0.1428 0.3824 0.0747
4 Zn 0.2024 0.4690 0.5694
5 Zn 0.3824 0.0747 0.1428
6 Zn 0.4306 0.7976 0.5310
7 Zn 0.4690 0.5694 0.2024
8 Zn 0.5310 0.4306 0.7976
9 Zn 0.5694 0.2024 0.4690
10 Zn 0.6176 0.9253 0.8572
11 Zn 0.7976 0.5310 0.4306
12 Zn 0.8572 0.6176 0.9253
13 Zn 0.9253 0.8572 0.6176
14 Au 0.1222 0.7368 0.2928
15 Au 0.2632 0.7072 0.8778
16 Au 0.2928 0.1222 0.7368
17 Au 0.7072 0.8778 0.2632
18 Au 0.7368 0.2928 0.1222
19 Au 0.8778 0.2632 0.7072


Dy2PtAu | PBE | optimized geometry

Computed properties:
SG: P2_1/m, No. 11
DFT total energy in eV/cell: -45.84
DOS at the Fermi energy in states/eV/cell: 4.09

a b c (Å): 5.6902 4.5915 7.5386
angles (deg): 90.00 109.86 90.00
Fractional coordinates of all 8 atoms:
1 Dy 0.2168 0.2500 0.4346
2 Dy 0.2324 0.2500 0.9266
3 Dy 0.7676 0.7500 0.0734
4 Dy 0.7832 0.7500 0.5654
5 Pt 0.3258 0.7500 0.7064
6 Pt 0.6742 0.2500 0.2936
7 Au 0.3190 0.7500 0.2068
8 Au 0.6810 0.2500 0.7932


LaCeBi | PBE | optimized geometry

Computed properties:
SG: P3m1, No. 156
DFT total energy in eV/cell: -15.55
DOS at the Fermi energy in states/eV/cell: 8.01

a b c (Å): 5.4704 5.4704 3.7608
angles (deg): 90.00 90.00 120.00
Fractional coordinates of all 3 atoms:
1 La 0.0000 0.0000 0.0000
2 Ce 0.3333 0.6667 0.5840
3 Bi 0.6667 0.3333 0.3124


MgIrRu4 | PBE | optimized geometry

Computed properties:
SG: F-43m, No. 216
DFT total energy in eV/cell: -45.02
DOS at the Fermi energy in states/eV/cell: 10.18

a b c (Å): 5.0805 5.0805 5.0805
angles (deg): 60.00 60.00 60.00
Fractional coordinates of all 6 atoms:
1 Mg 0.0000 0.0000 0.0000
2 Ir 0.2500 0.2500 0.2500
3 Ru 0.1253 0.6249 0.6249
4 Ru 0.6249 0.1253 0.6249
5 Ru 0.6249 0.6249 0.1253
6 Ru 0.6249 0.6249 0.6249


Ge2Se2I | PBE | optimized geometry

Computed properties:
SG: I4/mmm, No. 139
E_form (uncorrected) in eV/atom: -0.047
DOS at the Fermi energy in states/eV/cell: 2.95
Excess energy over the best structure of this formula in the dataset in meV per atom: 87

a b c (Å): 6.7897 6.7897 6.7897
angles (deg): 138.10 138.10 60.75
Fractional coordinates of all 5 atoms:
1 Ge 0.2500 0.7500 0.5000
2 Ge 0.7500 0.2500 0.5000
3 Se 0.1553 0.1553 0.0000
4 Se 0.8447 0.8447 0.0000
5 I 0.5000 0.5000 0.0000


Na4MgU3N8 | PBE | optimized geometry

Computed properties:
SG: R-3m, No. 166
E_form (uncorrected) in eV/atom: -0.944

a b c (Å): 6.8894 6.8894 6.8894
angles (deg): 59.96 59.96 59.96
Fractional coordinates of all 16 atoms:
1 Na 0.0000 0.0000 0.0000
2 Na 0.0000 0.5000 0.5000
3 Na 0.5000 0.0000 0.5000
4 Na 0.5000 0.5000 0.0000
5 Mg 0.5000 0.5000 0.5000
6 U 0.0000 0.0000 0.5000
7 U 0.0000 0.5000 0.0000
8 U 0.5000 0.0000 0.0000
9 N 0.2026 0.7397 0.7397
10 N 0.2292 0.2292 0.2292
11 N 0.2603 0.2603 0.7974
12 N 0.2603 0.7974 0.2603
13 N 0.7397 0.2026 0.7397
14 N 0.7397 0.7397 0.2026
15 N 0.7708 0.7708 0.7708
16 N 0.7974 0.2603 0.2603


MgIn2Pd5 | PBE | optimized geometry

Computed properties:
SG: I4/mmm, No. 139
DFT total energy in eV/cell: -37.21
DOS at the Fermi energy in states/eV/cell: 3.06

a b c (Å): 6.9022 6.9022 6.9022
angles (deg): 140.02 140.02 57.82
Fractional coordinates of all 8 atoms:
1 Mg 0.0000 0.0000 0.0000
2 In 0.2572 0.2572 0.0000
3 In 0.7428 0.7428 0.0000
4 Pd 0.1245 0.6245 0.5000
5 Pd 0.3755 0.8755 0.5000
6 Pd 0.5000 0.5000 0.0000
7 Pd 0.6245 0.1245 0.5000
8 Pd 0.8755 0.3755 0.5000


VFeSbIr2 | PBE | optimized geometry

Computed properties:
SG: P4/mmm, No. 123
E_form (uncorrected) in eV/atom: 1.753
DOS at the Fermi energy in states/eV/cell: 8.49

a b c (Å): 4.8269 4.8269 4.8597
angles (deg): 90.00 90.00 90.00
Fractional coordinates of all 5 atoms:
1 V 0.0000 0.0000 0.0000
2 Fe 0.5000 0.5000 0.0000
3 Sb 0.0000 0.0000 0.5000
4 Ir 0.0000 0.5000 0.5000
5 Ir 0.5000 0.0000 0.5000